# 1
A plane-wave DFT calculation with PBE-GGA was carried out for an optimized crystal structure of InHPd2Pt.

extended XYZ file:
```
5
Lattice="3.938 0.000 0.000 0.000 3.938 0.000 0.000 0.000 4.458" Properties=species:S:1:pos:R:3 pbc="T T T"
In 0.000 0.000 0.000
H 0.000 0.000 2.229
Pd 0.000 1.969 2.229
Pd 1.969 0.000 2.229
Pt 1.969 1.969 0.000
```

**Space-group type**: P4/mmm
**Excess energy over the best structure of this formula in the dataset**: 4.10 kcal/mol of atoms
**N(E_F)**: 0.59 states/eV/f.u.

# 2
A plane-wave DFT calculation with PBE-GGA was carried out for an optimized crystal structure of InHPdPt2.

extended XYZ file:
```
5
Lattice="4.055 0.000 0.000 0.000 4.055 0.000 0.000 0.000 4.185" Properties=species:S:1:pos:R:3 pbc="T T T"
In 0.000 0.000 0.000
H 2.027 2.027 2.092
Pd 2.027 2.027 0.000
Pt 0.000 2.027 2.092
Pt 2.027 0.000 2.092
```

**Space-group type**: P4/mmm
**Excess energy over the best structure of this formula in the dataset**: 0.00 kcal/mol of atoms
**N(E_F)**: 0.52 states/eV/f.u.

# 3
A plane-wave DFT calculation with PBE-GGA was carried out for an optimized crystal structure of PuInHPd2.

extended XYZ file:
```
10
Lattice="1.571 -6.950 0.000 1.571 6.950 0.000 0.000 0.000 7.682" Properties=species:S:1:pos:R:3 pbc="T T T"
Pu 1.571 6.656 5.761
Pu 1.571 -6.656 1.920
In 1.571 3.313 1.920
In 1.571 -3.313 5.761
H 1.571 0.000 0.000
H 1.571 0.000 3.841
Pd 1.571 1.873 4.277
Pd 1.571 1.873 7.246
Pd 1.571 -1.873 0.436
Pd 1.571 -1.873 3.405
```

**Total DFT energy (no corrections)**: -6.577 eV/atom
**Space-group type**: Cmcm
**N(E_F)**: 9.74 states/eV/f.u.

# 4
A plane-wave DFT calculation with PBE-GGA was carried out for an optimized crystal structure of InHPd2Rh.

extended XYZ file:
```
5
Lattice="4.048 0.000 0.000 0.000 4.048 0.000 0.000 0.000 4.069" Properties=species:S:1:pos:R:3 pbc="T T T"
In 0.000 0.000 0.000
H 2.024 2.024 2.034
Pd 0.000 2.024 2.034
Pd 2.024 0.000 2.034
Rh 2.024 2.024 0.000
```

**Space-group type**: P4/mmm
**Excess energy over the best structure of this formula in the dataset**: 0.00 kcal/mol of atoms
**N(E_F)**: 4.13 states/eV/f.u.

# 5
A plane-wave DFT calculation with PBE-GGA was carried out for an optimized crystal structure of InHPd2Rh.

extended XYZ file:
```
5
Lattice="3.888 0.000 0.000 0.000 3.888 0.000 0.000 0.000 4.501" Properties=species:S:1:pos:R:3 pbc="T T T"
In 0.000 0.000 0.000
H 0.000 0.000 2.251
Pd 0.000 1.944 2.251
Pd 1.944 0.000 2.251
Rh 1.944 1.944 0.000
```

**Space-group type**: P4/mmm
**Excess energy over the best structure of this formula in the dataset**: 5.12 kcal/mol of atoms
**N(E_F)**: 5.04 states/eV/f.u.

# 6
A plane-wave DFT calculation with PBE-GGA was carried out for an optimized crystal structure of InHPdRh2.

extended XYZ file:
```
5
Lattice="4.053 0.000 0.000 0.000 4.053 0.000 0.000 0.000 3.988" Properties=species:S:1:pos:R:3 pbc="T T T"
In 0.000 0.000 0.000
H 2.026 2.026 1.994
Pd 2.026 2.026 0.000
Rh 0.000 2.026 1.994
Rh 2.026 0.000 1.994
```

**Space-group type**: P4/mmm
**Excess energy over the best structure of this formula in the dataset**: 0.00 kcal/mol of atoms
**N(E_F)**: 5.11 states/eV/f.u.

# 7
A plane-wave DFT calculation with PBE-GGA was carried out for an optimized crystal structure of InH6PdRh2.

extended XYZ file:
```
20
Lattice="4.096 -4.556 0.000 4.096 4.556 0.000 -1.156 0.000 4.767" Properties=species:S:1:pos:R:3 pbc="T T T"
In 3.229 3.221 3.576
In 3.807 -3.221 1.192
H 2.383 2.030 1.631
H 1.959 0.116 0.653
H 1.381 -0.116 3.037
H 2.262 0.961 4.168
H 5.231 2.030 0.753
H 4.196 0.961 2.983
H 2.840 -0.961 1.784
H 1.805 -2.030 4.015
H 4.774 -0.961 0.599
H 5.654 0.116 1.731
H 5.076 -0.116 4.114
H 4.653 -2.030 3.137
Pd 3.807 0.857 1.192
Pd 3.229 -0.857 3.576
Rh 0.558 1.078 3.928
Rh 1.136 -1.078 1.545
Rh 5.900 1.078 3.223
Rh 6.478 -1.078 0.839
```

**Total DFT energy (no corrections)**: -4.273 eV/atom
**Space-group type**: C2/c
**N(E_F)**: 0.65 states/eV/f.u.

# 8
A plane-wave DFT calculation with PBE-GGA was carried out for an optimized crystal structure of InH2PdRh.

extended XYZ file:
```
5
Lattice="-1.655 1.655 5.102 1.655 -1.655 5.102 1.655 1.655 -5.102" Properties=species:S:1:pos:R:3 pbc="T T T"
In 0.000 0.000 0.000
H 1.655 0.000 2.346
H 0.000 1.655 2.346
Pd 0.000 0.000 3.558
Rh 0.000 0.000 6.680
```

**Total DFT energy (no corrections)**: -4.617 eV/atom
**Space-group type**: I4mm
**N(E_F)**: 1.11 states/eV/f.u.